Entry 1:
First-principles (PBE-GGA) data for LaTeAsBr2 after structural relaxation, as listed in the Alexandria database.

Cell: 5.642 5.642 6.371 Å, 90.00 90.00 90.00°
Fractional positions:
Te 0.500 0.500 0.500
Br 0.500 0.000 0.000
Br 0.000 0.500 0.000
As 0.000 0.000 0.500
La 0.000 0.000 0.000

As for the offset from the most stable computed form: 0.0 kJ/mol of atoms. As for the uncorrected formation energy: -2.42 eV/f.u. As for the space group: P4/mmm (123).

---

Entry 2:
First-principles (PBE-GGA) data for Ca2Sm2Pd15 after structural relaxation, as listed in the Alexandria database.

Cell: 7.147 7.147 7.147 Å, 81.41 81.41 81.41°
Fractional positions:
Pd 0.000 0.500 0.000
Pd 0.304 0.000 0.696
Pd 0.649 0.649 0.160
Pd 0.351 0.351 0.840
Pd 0.500 0.000 0.000
Pd 0.840 0.351 0.351
Pd 0.696 0.304 0.000
Pd 0.649 0.160 0.649
Pd 0.304 0.696 0.000
Pd 0.000 0.000 0.500
Pd 0.160 0.649 0.649
Pd 0.351 0.840 0.351
Pd 0.696 0.000 0.304
Pd 0.000 0.696 0.304
Pd 0.000 0.304 0.696
Ca 0.366 0.366 0.366
Ca 0.634 0.634 0.634
Sm 0.889 0.889 0.889
Sm 0.111 0.111 0.111

The calculation puts the formation energy at -474.8 meV per atom. As for the space group: R-3m (166).

---

Entry 3:
First-principles (PBE-GGA) data for HgAuCl2 after structural relaxation, as listed in the Alexandria database.

Cell: 3.853 6.786 3.908 Å, 90.00 90.00 90.00°
Fractional positions:
Cl 0.500 0.500 0.000
Cl 0.000 0.000 0.000
Hg 0.500 0.000 0.500
Au 0.000 0.500 0.500

As for the offset from the most stable computed form: 25.4 kJ/mol of atoms. As for the uncorrected formation energy: 0.08 eV/f.u. As for the space group: Pmmm (47).

---

Entry 4:
First-principles (PBE-GGA) data for Dy12Ho2In after structural relaxation, as listed in the Alexandria database.

Cell: 6.627 6.627 23.940 Å, 85.58 94.42 64.45°
Fractional positions:
Dy 0.326 0.174 0.420
Dy 0.836 0.142 0.443
Dy 0.664 0.358 0.557
Dy 0.891 0.040 0.193
Dy 0.867 0.175 0.935
Dy 0.040 0.891 0.807
Dy 0.142 0.836 0.557
Dy 0.460 0.609 0.193
Dy 0.045 0.969 0.325
Dy 0.969 0.045 0.675
Dy 0.531 0.455 0.325
Dy 0.455 0.531 0.675
Dy 0.648 0.852 0.572
Dy 0.264 0.236 0.150
Dy 0.358 0.664 0.443
Dy 0.174 0.326 0.580
Dy 0.852 0.648 0.428
Dy 0.633 0.325 0.065
Dy 0.175 0.867 0.065
Dy 0.609 0.460 0.807
Dy 0.325 0.633 0.935
Dy 0.756 0.744 0.900
Dy 0.236 0.264 0.850
Dy 0.744 0.756 0.100
Ho 0.976 0.524 0.713
Ho 0.524 0.976 0.287
Ho 0.498 0.002 0.734
Ho 0.002 0.498 0.266
In 0.057 0.443 0.017
In 0.443 0.057 0.983

The calculation puts the formation energy at 50.0 meV per atom. As for the space group: C2/m (12).

---

Entry 5:
First-principles (PBE-GGA) data for CeHo2Au after structural relaxation, as listed in the Alexandria database.

Cell: 3.580 3.580 10.303 Å, 79.99 79.99 60.00°
Fractional positions:
Ho 0.262 0.262 0.215
Ho 0.738 0.738 0.785
Ce 0.500 0.500 0.500
Au 0.000 0.000 0.000

As for the offset from the most stable computed form: 13.5 kJ/mol of atoms. The calculation puts the formation energy at -230.9 meV per atom. As for the space group: R-3m (166).

---

Entry 6:
First-principles (PBE-GGA) data for Pr2CuNiPt6 after structural relaxation, as listed in the Alexandria database.

Cell: 6.602 6.602 6.602 Å, 60.00 60.00 90.00°
Fractional positions:
Pt 0.750 0.250 0.000
Pt 0.250 0.250 0.000
Pt 0.250 0.750 0.000
Pt 0.750 0.750 0.000
Pt 0.250 0.250 0.499
Pt 0.750 0.750 0.501
Pr 0.250 0.750 0.500
Pr 0.750 0.250 0.500
Ni 0.500 0.500 0.000
Cu 0.000 0.000 0.000

The calculation puts the formation energy at -162.9 meV per atom. As for the space group: Fm-3m (225).

---

Entry 7:
First-principles (PBE-GGA) data for Ce2DySi2 after structural relaxation, as listed in the Alexandria database.

Cell: 3.972 5.875 12.014 Å, 116.28 90.00 90.00°
Fractional positions:
Si 0.250 0.352 0.983
Si 0.750 0.648 0.017
Si 0.250 0.858 0.614
Si 0.750 0.142 0.386
Ce 0.750 0.662 0.418
Ce 0.750 0.265 0.152
Ce 0.250 0.735 0.848
Ce 0.250 0.338 0.582
Dy 0.750 0.168 0.782
Dy 0.250 0.832 0.218

As for the offset from the most stable computed form: 18.5 kJ/mol of atoms. As for the uncorrected formation energy: -2.11 eV/f.u. As for the space group: P2_1/m (11).

---

Entry 8:
First-principles (PBE-GGA) data for TaCl2O after structural relaxation, as listed in the Alexandria database.

Cell: 4.267 4.267 4.267 Å, 60.00 60.00 60.00°
Fractional positions:
Cl 0.250 0.250 0.250
Cl 0.750 0.750 0.750
O 0.000 0.000 0.000
Ta 0.500 0.500 0.500

As for the uncorrected formation energy: -0.03 eV/f.u. As for the space group: Fm-3m (225).

---

Entry 9:
First-principles (PBE-GGA) data for KRb5Hg3 after structural relaxation, as listed in the Alexandria database.

Cell: 9.385 9.385 13.004 Å, 103.33 103.33 92.57°
Fractional positions:
Rb 0.708 0.232 0.657
Rb 0.200 0.200 0.573
Rb 0.268 0.268 0.938
Rb 0.232 0.708 0.657
Rb 0.800 0.800 0.427
Rb 0.768 0.292 0.343
Rb 0.732 0.732 0.062
Rb 0.740 0.260 0.000
Rb 0.292 0.768 0.343
Rb 0.260 0.740 0.000
Hg 0.480 0.480 0.800
Hg 0.500 0.500 0.500
Hg 0.000 0.000 0.000
Hg 0.520 0.520 0.200
Hg 0.997 0.997 0.756
Hg 0.003 0.003 0.244
K 0.732 0.732 0.744
K 0.268 0.268 0.256

The calculation puts the formation energy at -114.8 meV per atom. As for the space group: C2/m (12).

---

Entry 10:
First-principles (PBE-GGA) data for PtAu after structural relaxation, as listed in the Alexandria database.

Cell: 5.779 4.861 9.643 Å, 90.00 90.00 90.00°
Fractional positions:
Au 0.750 0.949 0.624
Au 0.502 0.052 0.375
Au 0.250 0.551 0.376
Au 0.250 0.449 0.876
Au 0.002 0.448 0.625
Au 0.498 0.552 0.125
Au 0.750 0.051 0.124
Au 0.998 0.948 0.875
Pt 0.502 0.452 0.625
Pt 0.498 0.952 0.875
Pt 0.998 0.548 0.125
Pt 0.243 0.047 0.124
Pt 0.257 0.953 0.624
Pt 0.757 0.547 0.376
Pt 0.743 0.453 0.876
Pt 0.002 0.048 0.375

The calculation puts the formation energy at 92.5 meV per atom. As for the space group: P2_12_12_1 (19).

---

Entry 11:
First-principles (PBE-GGA) data for YTaCu2 after structural relaxation, as listed in the Alexandria database.

Cell: 3.246 3.246 6.760 Å, 90.00 90.00 90.00°
Fractional positions:
Y 0.500 0.500 0.771
Ta 0.000 0.000 0.447
Cu 0.000 0.000 0.052
Cu 0.500 0.500 0.230

As for the offset from the most stable computed form: 4.7 kJ/mol of atoms. The calculation puts the formation energy at 116.7 meV per atom. As for the space group: P4mm (99).

---

Entry 12:
First-principles (PBE-GGA) data for Cs2PbSe2O6 after structural relaxation, as listed in the Alexandria database.

Cell: 6.459 6.445 7.694 Å, 101.88 90.00 120.07°
Fractional positions:
O 0.716 0.855 0.677
O 0.284 0.145 0.323
O 0.862 0.145 0.323
O 0.138 0.855 0.677
O 0.281 0.561 0.297
O 0.719 0.439 0.703
Pb 0.500 0.000 0.500
Se 0.122 0.243 0.219
Se 0.878 0.757 0.781
Cs 0.799 0.598 0.283
Cs 0.201 0.402 0.717

As for the uncorrected formation energy: -13.73 eV/f.u. As for the space group: C2/m (12).